No. 1
The following is a PBE calculation of a relaxed structure of CeErThSn, from Alexandria via LeMat-Bulk.

Space group: F-43m
Crystal system: cubic
Calculated formation energy (eV per atom): -0.138
ρ (Mg/m³): 9.645

Cell and atoms, written as extended XYZ:
```
4
Lattice="0.000 3.841 3.841 3.841 0.000 3.841 3.841 3.841 0.000" Properties=species:S:1:pos:R:3 pbc="T T T"
Ce 0.000 0.000 0.000
Er 3.841 3.841 3.841
Th 5.761 5.761 5.761
Sn 1.920 1.920 1.920
```

***

No. 2
The following is a PBE calculation of a relaxed structure of CeErTmSn, from Alexandria via LeMat-Bulk.

Space group: F-43m
Crystal system: cubic
Calculated formation energy (eV per atom): -0.169
ρ (Mg/m³): 9.216

Cell and atoms, written as extended XYZ:
```
4
Lattice="0.000 3.771 3.771 3.771 0.000 3.771 3.771 3.771 0.000" Properties=species:S:1:pos:R:3 pbc="T T T"
Ce 0.000 0.000 0.000
Er 1.885 1.885 1.885
Tm 5.656 5.656 5.656
Sn 3.771 3.771 3.771
```

***

No. 3
The following is a PBE calculation of a relaxed structure of CeErZnSn, from Alexandria via LeMat-Bulk.

Space group: F-43m
Crystal system: cubic
Calculated formation energy (eV per atom): -0.434
ρ (Mg/m³): 8.064

Cell and atoms, written as extended XYZ:
```
4
Lattice="0.000 3.699 3.699 3.699 0.000 3.699 3.699 3.699 0.000" Properties=species:S:1:pos:R:3 pbc="T T T"
Ce 0.000 0.000 0.000
Er 3.699 3.699 3.699
Zn 1.849 1.849 1.849
Sn 5.548 5.548 5.548
```